Entry from Alexandria: crystalline Mo2SeBr at its relaxed geometry (GGA-PBE).

Values from the calculation:
Uncorrected energy (eV/atom): -6.675
Relative energy among the computed polymorphs (meV/atom): 24

Lattice parameters (Å, degrees): 3.0791 3.0791 8.3250 90.00 90.00 90.00
Last column: nearest neighbours and their distance in Å.
Fractional positions:
Br 0.5000 0.5000 0.8180  4 Mo 2.75
Mo 0.0000 0.0000 0.0196  4 Br 2.75, 4 Mo 2.89
Mo 0.5000 0.5000 0.2470  4 Se 2.59, 4 Mo 2.89
Se 0.0000 0.0000 0.4155  4 Mo 2.59